# 1
SrNi2Mo2 (GGA-PBE, relaxed); calculated total energy = -6.4642 eV/atom; DOS(E_F) = 1.372 states/eV/atom; formation energy = 2.6 eV per formula unit
1.0
-4.370 -1.147 -0.677
0.670 -3.898 2.286
-2.987 -0.462 4.651
Sr Mo Ni
1 2 2
Direct
0.000 0.000 0.000
0.364 0.364 0.273
0.636 0.636 0.727
0.750 0.250 0.500
0.250 0.750 0.500

# 2
Dy2YAg3S6 (GGA-PBE, relaxed); calculated total energy = -5.3932 eV/atom; DOS(E_F) = 0.000 states/eV/atom
1.0
4.084 0.000 0.000
0.000 11.917 -0.245
-2.042 -3.535 6.807
Dy Y Ag S
2 1 3 6
Direct
0.833 0.667 0.667
0.167 0.333 0.333
0.500 0.000 0.000
0.500 0.500 0.000
0.833 0.166 0.666
0.167 0.834 0.334
0.308 0.803 0.616
0.641 0.470 0.283
0.692 0.197 0.384
0.975 0.137 0.950
0.025 0.863 0.050
0.359 0.530 0.717

# 3
YCuAs3 (GGA-PBE, relaxed); calculated total energy = -4.9885 eV/atom; DOS(E_F) = 0.587 states/eV/atom; formation energy = -0.4 eV per formula unit
1.0
-0.980 0.035 -4.651
3.749 -2.807 -0.811
-2.752 -3.836 0.551
Y As Cu
1 3 1
Direct
0.500 0.500 0.500
0.000 0.500 0.000
0.000 0.000 0.500
0.500 0.000 0.000
0.000 0.000 0.000

# 4
ScCuAg2 (GGA-PBE, relaxed); calculated total energy = -3.9758 eV/atom; DOS(E_F) = 0.579 states/eV/atom; formation energy = 0.2 eV per formula unit
1.0
9.058 -0.021 -0.012
8.545 3.004 -0.012
8.545 1.448 2.632
Ag Cu Sc
2 1 1
Direct
0.999 0.999 0.999
0.245 0.245 0.245
0.500 0.500 0.500
0.756 0.756 0.756

# 5
Tb5SmEr12 (GGA-PBE, relaxed); calculated total energy = -4.4721 eV/atom; DOS(E_F) = 1.990 states/eV/atom; formation energy = 2.1 eV per formula unit
1.0
11.094 0.000 0.000
5.547 8.608 0.000
0.000 0.000 5.908
Tb Sm Er
5 1 12
Direct
0.500 0.000 0.500
0.167 0.665 0.500
0.833 0.335 0.500
0.668 0.665 0.000
0.332 0.335 0.000
0.000 0.000 0.000
0.825 0.000 0.453
0.175 0.000 0.547
0.673 0.000 0.953
0.327 0.000 0.047
0.343 0.666 0.950
0.991 0.666 0.050
0.009 0.334 0.950
0.657 0.334 0.050
0.508 0.333 0.550
0.841 0.667 0.550
0.159 0.333 0.450
0.492 0.667 0.450

# 6
Cs4La3NdTe8 (GGA-PBE, relaxed); calculated total energy = -4.4851 eV/atom
1.0
9.495 0.000 0.000
0.000 10.460 0.674
-4.748 -4.745 6.716
Cs La Nd Te
4 3 1 8
Direct
0.500 0.000 0.000
0.500 0.000 0.500
0.000 0.000 0.000
0.000 0.000 0.500
0.500 0.500 0.000
0.500 0.500 0.500
0.000 0.500 0.500
0.000 0.500 0.000
0.230 0.695 0.966
0.230 0.696 0.460
0.268 0.303 0.535
0.735 0.695 0.966
0.265 0.305 0.034
0.732 0.697 0.465
0.770 0.304 0.540
0.770 0.305 0.034

# 7
Ho2TmNb (GGA-PBE, relaxed); calculated total energy = -5.4141 eV/atom; DOS(E_F) = 1.309 states/eV/atom; formation energy = 2.0 eV per formula unit
1.0
3.277 0.000 0.000
1.638 2.838 0.000
1.638 0.946 11.459
Nb Tm Ho
1 1 2
Direct
0.000 0.000 0.000
0.500 0.500 0.500
0.084 0.084 0.748
0.916 0.916 0.252

# 8
Ba2HoThS6 (GGA-PBE, relaxed); calculated total energy = -5.9401 eV/atom; DOS(E_F) = 1.447 states/eV/atom
1.0
-2.170 -6.906 -0.888
7.303 -2.258 -0.284
0.027 -1.226 10.439
Ba Ho Th S
4 2 2 12
Direct
0.022 0.934 0.249
0.522 0.566 0.749
0.978 0.066 0.751
0.478 0.434 0.251
0.500 0.000 0.500
0.000 0.500 0.000
0.500 0.000 0.000
0.000 0.500 0.500
0.296 0.704 0.050
0.796 0.796 0.550
0.704 0.296 0.950
0.204 0.204 0.450
0.302 0.706 0.451
0.802 0.794 0.951
0.698 0.294 0.549
0.198 0.206 0.049
0.906 0.526 0.247
0.406 0.974 0.747
0.094 0.474 0.753
0.594 0.026 0.253